A plane-wave DFT calculation with SCAN was carried out for a PBEsol-optimized structure of HfBeI3.

abc: 5.0438 5.0438 5.0438
angles: 90.00 90.00 90.00
With the nearest neighbours (Å) after each atom.
Sites, in units of the cell vectors:
Hf 0.0000 0.0000 0.0000  12 I 3.57
Be 0.5000 0.5000 0.5000  6 I 2.52
I 0.0000 0.5000 0.5000  2 Be 2.52
I 0.5000 0.0000 0.5000  2 Be 2.52
I 0.5000 0.5000 0.0000  2 Be 2.52

Values from the calculation:
The uncorrected formation energy is 0.605 eV per atom. Its total magnetization is 1.64 μB per cell.

A plane-wave DFT calculation with SCAN was carried out for a PBEsol-optimized structure of YNb3Cd.

abc: 5.0194 5.0194 5.0194
angles: 90.00 90.00 90.00
With the nearest neighbours (Å) after each atom.
Sites, in units of the cell vectors:
Y 0.0000 0.0000 0.0000  12 Nb 3.55
Nb 0.0000 0.5000 0.5000  2 Cd 2.51
Nb 0.5000 0.0000 0.5000  2 Cd 2.51
Nb 0.5000 0.5000 0.0000  2 Cd 2.51
Cd 0.5000 0.5000 0.5000  6 Nb 2.51

Values from the calculation:
For the formation energy, the calculation gives 1546 meV per atom. Its total magnetization is 0.00 μB per cell.